## Sc3Tl2NiF12 (PBE+U)

Data for an optimized crystal structure of Sc3Tl2NiF12.

- calculated total energy (eV per atom) = -5.85
- symmetry = R-3m

abc: 7.590 7.590 7.590
angles: 61.81 61.81 61.81
Element x y z (fractional)
Sc 0.500 0.000 0.000
Sc 0.000 0.500 0.000
Sc 0.000 0.000 0.500
Ni 0.000 0.000 0.000
F 0.060 0.691 0.060
F 0.688 0.688 0.060
F 0.940 0.940 0.309
F 0.691 0.060 0.060
F 0.940 0.309 0.940
F 0.940 0.312 0.312
F 0.309 0.940 0.940
F 0.312 0.312 0.940
F 0.688 0.060 0.688
F 0.060 0.688 0.688
F 0.312 0.940 0.312
F 0.060 0.060 0.691
Tl 0.597 0.597 0.597
Tl 0.403 0.403 0.403